*1*
VASP calculation (PBE) on an optimized crystal structure of NdEr3Tm2.

```
data_NdEr3Tm2
_cell_length_a 9.384
_cell_length_b 13.043
_cell_length_c 6.280
_cell_angle_alpha 90.00
_cell_angle_beta 90.00
_cell_angle_gamma 90.00
_space_group_name_H-M_alt 'C m c 21'
_space_group_IT_number 36
loop_
_space_group_symop_operation_xyz
'x,y,z'
'-x,-y,z+1/2'
'-x,y,z'
'x,-y,z+1/2'
'x+1/2,y+1/2,z'
'-x+1/2,-y+1/2,z+1/2'
'-x+1/2,y+1/2,z'
'x+1/2,-y+1/2,z+1/2'
loop_
_atom_site_label
_atom_site_type_symbol
_atom_site_fract_x
_atom_site_fract_y
_atom_site_fract_z
Nd1 Nd 0.000 0.177 0.000
Er1 Er 0.000 0.081 0.473
Er2 Er 0.183 0.442 0.222
Tm1 Tm 0.181 0.303 0.669
```

---

*2*
VASP calculation (PBE) on an optimized crystal structure of NdEr3Tm2.

```
data_NdEr3Tm2
_cell_length_a 7.099
_cell_length_b 7.108
_cell_length_c 8.758
_cell_angle_alpha 78.25
_cell_angle_beta 78.27
_cell_angle_gamma 60.14
_space_group_name_H-M_alt 'P -1'
_space_group_IT_number 2
loop_
_space_group_symop_operation_xyz
'x,y,z'
'-x,-y,-z'
loop_
_atom_site_label
_atom_site_type_symbol
_atom_site_fract_x
_atom_site_fract_y
_atom_site_fract_z
Nd1 Nd 0.250 0.250 0.001
Er1 Er 0.139 0.139 0.664
Er2 Er 0.250 0.750 0.000
Er3 Er 0.360 0.860 0.337
Tm1 Tm 0.140 0.639 0.663
Tm2 Tm 0.361 0.362 0.336
```

---

Least stable: *1*

---

*1*
VASP calculation (PBE) on an optimized crystal structure of Nd4Er7Tm.

```
data_Nd4Er7Tm
_cell_length_a 6.534
_cell_length_b 6.817
_cell_length_c 9.038
_cell_angle_alpha 84.99
_cell_angle_beta 77.10
_cell_angle_gamma 81.68
_space_group_name_H-M_alt 'P -1'
_space_group_IT_number 2
loop_
_space_group_symop_operation_xyz
'x,y,z'
'-x,-y,-z'
loop_
_atom_site_label
_atom_site_type_symbol
_atom_site_fract_x
_atom_site_fract_y
_atom_site_fract_z
Nd1 Nd 0.140 0.308 0.285
Nd2 Nd 0.337 0.885 0.693
Er1 Er 0.010 0.253 0.952
Er2 Er 0.182 0.799 0.356
Er3 Er 0.313 0.394 0.619
Er4 Er 0.500 0.000 0.000
Tm1 Tm 0.500 0.500 0.000
```

---

*2*
VASP calculation (PBE) on an optimized crystal structure of Nd4Er7Tm.

```
data_Nd4Er7Tm
_cell_length_a 11.981
_cell_length_b 5.874
_cell_length_c 12.790
_cell_angle_alpha 90.00
_cell_angle_beta 116.95
_cell_angle_gamma 90.00
_space_group_name_H-M_alt 'C 1 2/m 1'
_space_group_IT_number 12
loop_
_space_group_symop_operation_xyz
'x,y,z'
'-x,-y,-z'
'-x,y,-z'
'x,-y,z'
'x+1/2,y+1/2,z'
'-x+1/2,-y+1/2,-z'
'-x+1/2,y+1/2,-z'
'x+1/2,-y+1/2,z'
loop_
_atom_site_label
_atom_site_type_symbol
_atom_site_fract_x
_atom_site_fract_y
_atom_site_fract_z
Nd1 Nd 0.087 0.000 0.296
Nd2 Nd 0.136 0.500 0.776
Er1 Er 0.000 0.000 0.000
Er2 Er 0.131 0.500 0.488
Er3 Er 0.173 0.000 0.636
Er4 Er 0.210 0.000 0.919
Tm1 Tm 0.000 0.500 0.000
```

---

Least stable: *2*